Entry 1:
YSi7Os3 | GGA-PBE | relaxed

abc: 7.6597 7.6597 8.0119
angles: 61.44 61.44 60.00
Sites, in units of the cell vectors:
Si 0.6690 0.0634 0.4139
Si 0.5634 0.1690 0.9139
Si 0.8310 0.6463 0.0861
Os 0.5779 0.9221 0.2500
Si 0.7500 0.7500 0.7500
Si 0.3310 0.9366 0.5861
Si 0.4366 0.8310 0.0861
Os 0.9221 0.2500 0.2500
Si 0.1690 0.3537 0.9139
Si 0.0634 0.8537 0.4139
Si 0.6463 0.4366 0.0861
Si 0.8537 0.6690 0.4139
Si 0.3537 0.5634 0.9139
Os 0.0779 0.7500 0.7500
Si 0.1463 0.3310 0.5861
Si 0.9366 0.1463 0.5861
Y 0.5000 0.5000 0.5000
Os 0.4221 0.0779 0.7500
Os 0.2500 0.5779 0.2500
Si 0.2500 0.2500 0.2500
Os 0.7500 0.4221 0.7500
Y 0.0000 0.0000 0.0000

---

Entry 2:
Y2SiOs | GGA-PBE | relaxed

abc: 3.2091 3.2091 8.3001
angles: 90.00 90.00 90.00
Sites, in units of the cell vectors:
Si 0.5000 0.5000 0.6913
Y 0.0000 0.0000 0.9374
Os 0.0000 0.0000 0.5559
Y 0.5000 0.5000 0.3154

---

Entry 3:
Y3Si8Os3 | GGA-PBE | relaxed

Output
Energy above the most stable polymorph in this dataset   77 meV per atom

abc: 4.1358 7.8338 7.8338
angles: 76.35 74.69 74.69
Sites, in units of the cell vectors:
Si 0.3773 0.3329 0.9125
Si 0.6227 0.0875 0.6671
Si 0.3773 0.9125 0.3329
Y 0.8176 0.1824 0.1824
Os 0.0000 0.7707 0.2293
Y 0.5000 0.5000 0.5000
Si 0.8307 0.7977 0.5409
Os 0.0000 0.2293 0.7707
Os 0.5000 0.0000 0.0000
Si 0.1693 0.4591 0.2023
Y 0.1824 0.8176 0.8176
Si 0.8307 0.5409 0.7977
Si 0.6227 0.6671 0.0875
Si 0.1693 0.2023 0.4591

---

Entry 4:
Y2SiOs | GGA-PBE | relaxed

abc: 6.6259 6.6259 6.6259
angles: 37.44 37.44 37.44
Sites, in units of the cell vectors:
Y 0.2163 0.2163 0.2163
Y 0.0336 0.0336 0.0336
Os 0.4559 0.4559 0.4559
Si 0.7942 0.7942 0.7942

---

Entry 5:
Y5Si14Os4 | GGA-PBE | relaxed

abc: 8.0579 7.9607 12.7905
angles: 81.38 90.00 90.00
Sites, in units of the cell vectors:
Si 0.2794 0.5380 0.8206
Y 0.2541 0.6578 0.3644
Si 0.8324 0.8337 0.0006
Si 0.7792 0.0496 0.8211
Y 0.7511 0.6617 0.3658
Y 0.7459 0.3422 0.6356
Si 0.2206 0.0380 0.8206
Os 0.8738 0.1286 0.0006
Si 0.1676 0.1663 0.9994
Si 0.3324 0.6663 0.9994
Os 0.0001 0.5608 0.7470
Y 0.0000 0.5000 0.0000
Si 0.5003 0.3876 0.4463
Os 0.1262 0.8714 0.9994
Si 0.9937 0.2625 0.8208
Si 0.5004 0.8925 0.4414
Os 0.4999 0.0608 0.7470
Y 0.7489 0.1617 0.3658
Si 0.2792 0.4504 0.1789
Y 0.7541 0.8422 0.6356
Si 0.4945 0.3234 0.8209
Y 0.5000 0.0000 0.0000
Si 0.7794 0.9620 0.1794
Si 0.5063 0.7625 0.8208
Os 0.5001 0.9392 0.2530
Y 0.2511 0.8383 0.6342
Si 0.0004 0.6075 0.5586
Si 0.6676 0.3337 0.0006
Si 0.0063 0.7375 0.1792
Si 0.4937 0.2375 0.1792
Si 0.9945 0.1766 0.1791
Si 0.7208 0.5496 0.8211
Si 0.2208 0.9504 0.1789
Si 0.5055 0.6766 0.1791
Si 0.7206 0.4620 0.1794
Si 0.4997 0.6124 0.5537
Si 0.9997 0.8876 0.4463
Os 0.6262 0.6286 0.0006
Si 0.0055 0.8234 0.8209
Os 0.3738 0.3714 0.9994
Os 0.9999 0.4392 0.2530
Y 0.2489 0.3383 0.6342
Si 0.9996 0.3925 0.4414
Si 0.4996 0.1075 0.5586
Y 0.2459 0.1578 0.3644
Si 0.0003 0.1124 0.5537

---

Entry 6:
Y2Si3Os | GGA-PBE | relaxed

abc: 5.7557 5.7557 8.1476
angles: 110.07 110.07 91.63
Sites, in units of the cell vectors:
Si 0.8316 0.8316 0.6632
Y 0.7417 0.7417 0.0000
Si 0.1684 0.1684 0.3368
Os 0.3350 0.3350 0.6699
Si 0.6660 0.1658 0.8318
Y 0.2500 0.7500 0.5000
Y 0.7500 0.2500 0.5000
Si 0.3340 0.8342 0.1682
Si 0.1658 0.6660 0.8318
Si 0.8342 0.3340 0.1682
Y 0.2583 0.2583 0.0000
Os 0.6650 0.6650 0.3301

---

Entry 7:
Y2SiOs | GGA-PBE | relaxed

abc: 5.6009 5.6009 5.6009
angles: 136.42 136.42 63.33
Sites, in units of the cell vectors:
Si 0.7500 0.2500 0.5000
Y 0.0000 0.0000 0.0000
Y 0.2500 0.7500 0.5000
Os 0.5000 0.5000 0.0000

---

Entry 8:
Y4SiOs | GGA-PBE | relaxed

abc: 5.8981 5.8981 5.8981
angles: 60.00 60.00 60.00
Sites, in units of the cell vectors:
Y 0.3763 0.3763 0.3763
Y 0.8712 0.3763 0.3763
Si 0.0000 0.0000 0.0000
Y 0.3763 0.3763 0.8712
Y 0.3763 0.8712 0.3763
Os 0.7500 0.7500 0.7500

---

no.,raw formation energy (eV per atom)
1,-0.451
2,-0.301
3,-0.501
4,-0.433
5,-0.642
6,-0.655
7,-0.081
8,0.874